Ho2AlH2 after structural relaxation, computed with PBE.

Cell: 6.7982 6.7982 6.7982 Å, 149.45 149.45 43.76°
With the nearest neighbours (Å) after each atom.
Element x y z (fractional)
Ho 0.1471 0.1471 0.0000  4 H 2.21
Ho 0.8529 0.8529 0.0000  4 H 2.21
Al 0.5000 0.5000 0.0000  8 Ho 3.14
H 0.2500 0.7500 0.5000  4 Ho 2.21
H 0.7500 0.2500 0.5000  4 Ho 2.21

## Properties
The density of states at the Fermi level comes out at 0.307 states/eV per atom. The value obtained for the total energy is -4.51 eV per atom. The total magnetization is 0.0000 μB per atom.